! Ac3PrPb2 | the Alexandria database | PBE-GGA | optimized geometry; values from VASP
! Crystal system: orthorhombic
! Uncorrected energy (eV per atom): -4.29
! SG: Ibam, No. 72
! ΔE to the lowest computed polymorph (eV per formula unit): 1.213
! Formation energy (eV per atom): -0.2027
&SYSTEM
  ibrav = 0, nat = 12, ntyp = 3
/
ATOMIC_SPECIES
Ac 227.00 Ac.upf
Pr 140.91 Pr.upf
Pb 207.20 Pb.upf
CELL_PARAMETERS angstrom
-4.6477 -5.1587 3.5704
4.5157 -6.3644 -3.3173
4.8089 5.8455 6.1687
ATOMIC_POSITIONS angstrom
Ac -1.1949 -4.1705 0.9559
Ac 1.0629 -7.3527 -0.7027
Ac -0.6971 -0.9395 6.2722
Ac 3.1161 -1.5559 1.8083
Ac 5.3740 -4.7381 0.1497
Ac 1.5608 -4.1217 4.6136
Pr 2.2579 -3.1822 -1.6586
Pr 0.0000 0.0000 0.0000
Pb 2.5509 -0.8918 5.1836
Pb -1.8476 -3.5079 4.2151
Pb 6.5245 -2.1696 2.2068
Pb 2.1260 -4.7857 1.2384

---

! AcPr2Pb2 | the Alexandria database | PBE-GGA | optimized geometry; values from VASP
! Crystal system: monoclinic
! Uncorrected energy (eV per atom): -4.61
! SG: C2/m, No. 12
! ΔE to the lowest computed polymorph (eV per formula unit): 0.492
! Formation energy (eV per atom): -0.3891
&SYSTEM
  ibrav = 0, nat = 5, ntyp = 3
/
ATOMIC_SPECIES
Ac 227.00 Ac.upf
Pr 140.91 Pr.upf
Pb 207.20 Pb.upf
CELL_PARAMETERS angstrom
4.8419 0.5151 -0.2760
-0.5248 4.8408 -0.2760
-1.7722 -2.1987 7.6905
ATOMIC_POSITIONS angstrom
Ac 0.0000 0.0000 0.0000
Pr -0.0692 2.6600 3.5693
Pr 2.6141 0.4973 3.5693
Pb 2.2409 2.7801 1.2152
Pb 0.3040 0.3772 5.9233